Record 1
# Sr2TlIrO6 | Alexandria | GGA-PBE | optimized geometry
data_Sr2TlIrO6
_chemical_formula_sum 'Sr4 Tl2 Ir2 O12'
_cell_length_a 5.7996
_cell_length_b 6.0448
_cell_length_c 10.0559
_cell_angle_alpha 90.00
_cell_angle_beta 124.96
_cell_angle_gamma 90.00
_symmetry_space_group_name_H-M 'P 1 21/c 1'
_symmetry_Int_Tables_number 14
loop_
_symmetry_equiv_pos_as_xyz
'x,y,z'
'-x,-y,-z'
'-x,y+1/2,-z+1/2'
'x,-y+1/2,z+1/2'
loop_
_atom_site_label
_atom_site_fract_x
_atom_site_fract_y
_atom_site_fract_z
Sr1 0.2360 0.0557 0.2507
Tl1 0.5000 0.0000 0.0000
Ir1 0.0000 0.0000 0.5000
O1 0.1156 0.2257 0.9403
O2 0.2312 0.6803 0.9535
O3 0.3291 0.0417 0.7283
# Formation energy from raw total energies (eV/atom): -1.6019
# Density (g/cm³): 7.68
# DFT total energy (hartree per atom): -0.2218

Record 2
# NaHo2Zn | Alexandria | GGA-PBE | optimized geometry
data_NaHo2Zn
_chemical_formula_sum 'Na1 Ho2 Zn1'
_cell_length_a 3.5636
_cell_length_b 3.5636
_cell_length_c 8.7852
_cell_angle_alpha 90.00
_cell_angle_beta 90.00
_cell_angle_gamma 90.00
_symmetry_space_group_name_H-M 'P 4/m m m'
_symmetry_Int_Tables_number 123
_symmetry_space_group_name_Hall '-P 4 2'
loop_
_atom_site_label
_atom_site_fract_x
_atom_site_fract_y
_atom_site_fract_z
Na1 0.0000 0.0000 0.0000
Ho1 0.5000 0.5000 0.3088
Zn1 0.0000 0.0000 0.5000
# Energy of formation from the pure elements (eV per formula unit): -0.1
# Density (g/cm³): 6.23
# DFT total energy (hartree per atom): -0.1086

Record 3
# DyMgInNi | Alexandria | GGA-PBE | optimized geometry
data_DyMgInNi
_chemical_formula_sum 'Dy4 Mg4 In4 Ni4'
_cell_length_a 6.9004
_cell_length_b 6.9004
_cell_length_c 6.9004
_cell_angle_alpha 90.00
_cell_angle_beta 90.00
_cell_angle_gamma 90.00
_symmetry_space_group_name_H-M 'F -4 3 m'
_symmetry_Int_Tables_number 216
_symmetry_space_group_name_Hall 'F -4 2 3'
loop_
_atom_site_label
_atom_site_fract_x
_atom_site_fract_y
_atom_site_fract_z
Dy1 0.0000 0.0000 0.0000
Mg1 0.0000 0.0000 0.5000
In1 0.2500 0.2500 0.7500
Ni1 0.2500 0.2500 0.2500
# Energy of formation from the pure elements (eV per formula unit): -1.0
# Density (g/cm³): 7.28
# DFT total energy (hartree per atom): -0.1441

Record 4
# ZnTcPb2 | Alexandria | GGA-PBE | optimized geometry
data_ZnTcPb2
_chemical_formula_sum 'Zn1 Tc1 Pb2'
_cell_length_a 3.6019
_cell_length_b 3.5725
_cell_length_c 6.6024
_cell_angle_alpha 90.00
_cell_angle_beta 94.52
_cell_angle_gamma 90.00
_symmetry_space_group_name_H-M 'P 1 2/m 1'
_symmetry_Int_Tables_number 10
loop_
_symmetry_equiv_pos_as_xyz
'x,y,z'
'-x,-y,-z'
'-x,y,-z'
'x,-y,z'
loop_
_atom_site_label
_atom_site_fract_x
_atom_site_fract_y
_atom_site_fract_z
Zn1 0.0000 0.0000 0.0000
Tc1 0.0000 0.0000 0.5000
Pb1 0.4816 0.5000 0.2627
# Energy of formation from the pure elements (eV per formula unit): 2.1
# Density (g/cm³): 11.33
# DFT total energy (hartree per atom): -0.1561